Ho5Mg2Sc12: relaxed, PBE.

Output
total DFT energy (no corrections): -5.267 eV per atom
calculated volume: 1004.9 Å³/cell
total moment: 0.03 μB per cell
ΔH_f (0 K): 2.0 eV/f.u.

```
data_Ho5Mg2Sc12
_cell_length_a 14.984
_cell_length_b 8.465
_cell_length_c 7.922
_cell_angle_alpha 90.00
_cell_angle_beta 90.72
_cell_angle_gamma 90.00
_symmetry_space_group_name_H-M 'C 1 2/m 1'
_symmetry_Int_Tables_number 12
loop_
_symmetry_equiv_pos_as_xyz
'x,y,z'
'-x,-y,-z'
'-x,y,-z'
'x,-y,z'
'x+1/2,y+1/2,z'
'-x+1/2,-y+1/2,-z'
'-x+1/2,y+1/2,-z'
'x+1/2,-y+1/2,z'
loop_
_atom_site_label
_atom_site_type_symbol
_atom_site_fract_x
_atom_site_fract_y
_atom_site_fract_z
Ho1 Ho 0.000 0.000 0.000
Ho2 Ho 0.203 0.500 0.502
Ho3 Ho 0.238 0.000 0.077
Mg1 Mg 0.000 0.323 0.500
Sc1 Sc 0.053 0.500 0.838
Sc2 Sc 0.088 0.000 0.395
Sc3 Sc 0.125 0.307 0.167
Sc4 Sc 0.151 0.183 0.746
```